No. 1
DFT (PBE-GGA) results for a relaxed structure of TbCeGe2Rh5.

Cell lengths 3.9505, 3.9505, 11.7212 Å; angles 90.00, 90.00, 90.00 degrees
Last column: nearest neighbours and their distance in Å.
Sites, in units of the cell vectors:
Tb (0.0000, 0.0000, 0.0000)  4 Rh 2.79
Ce (0.5000, 0.5000, 0.5000)  8 Rh 2.81
Ge (0.5000, 0.5000, 0.2040)  5 Rh 2.39-2.46
Ge (0.5000, 0.5000, 0.7960)  5 Rh 2.39-2.46
Rh (0.0000, 0.5000, 0.3297)  2 Ge 2.46
Rh (0.0000, 0.5000, 0.6703)  2 Ge 2.46
Rh (0.5000, 0.0000, 0.3297)  2 Ge 2.46
Rh (0.5000, 0.0000, 0.6703)  2 Ge 2.46
Rh (0.5000, 0.5000, 0.0000)  2 Ge 2.39

Output
Space group   P4/mmm
Density of states at the Fermi level   5.780 states/eV/f.u.
Calculated formation energy   -0.407 eV/atom
Size of the total moment   0.000 μB/atom

No. 2
DFT (PBE-GGA) results for a relaxed structure of TbCe2Ge3Rh4.

Cell lengths 4.1615, 4.1615, 11.2925 Å; angles 90.00, 90.00, 90.00 degrees
Last column: nearest neighbours and their distance in Å.
Sites, in units of the cell vectors:
Tb (0.0000, 0.0000, 0.0000)  4 Rh 2.77, 4 Ge 2.94
Ce (0.0000, 0.5000, 0.7309)  8 Rh 3.18-3.34, 4 Ge 3.19
Ce (0.5000, 0.0000, 0.2691)  8 Rh 3.18-3.34, 4 Ge 3.19
Ge (0.0000, 0.5000, 0.3793)  5 Rh 2.45-2.49
Ge (0.5000, 0.0000, 0.6207)  5 Rh 2.45-2.49
Ge (0.5000, 0.5000, 0.0000)  4 Rh 2.77, 4 Tb 2.94
Rh (0.0000, 0.0000, 0.5000)  4 Ge 2.49
Rh (0.0000, 0.5000, 0.1622)  1 Ge 2.45
Rh (0.5000, 0.0000, 0.8378)  1 Ge 2.45
Rh (0.5000, 0.5000, 0.5000)  4 Ge 2.49

Output
Space group   P-4m2
Density of states at the Fermi level   9.922 states/eV/f.u.
Calculated formation energy   -0.851 eV/atom
Size of the total moment   0.141 μB/atom